Density functional theory data (PBE) for crystalline Nb4Ga2CN at its relaxed geometry.

The total energy is -8.586 eV/atom.

Geometry as extended XYZ:
```
8
Lattice="-0.243 0.317 3.121 -2.346 -1.313 -1.636 5.651 -12.194 1.680" Properties=species:S:1:pos:R:3 pbc="T T T"
C 0.000 0.000 0.000
Ga 0.472 -3.282 1.956
Ga 2.590 -9.907 1.209
N 2.826 -6.097 0.840
Nb -1.135 -1.870 0.102
Nb 0.678 -5.782 0.640
Nb 2.384 -7.407 2.525
Nb 4.197 -11.319 3.064
```

---

Density functional theory data (PBE) for crystalline LiLuAsIr at its relaxed geometry.

For the energy above the most stable polymorph in this dataset, the calculation gives 131 meV per atom. The total energy is -5.538 eV/atom.

Geometry as extended XYZ:
```
4
Lattice="1.185 -4.197 -1.100 -3.164 -3.121 -0.692 -0.770 -1.538 -4.156" Properties=species:S:1:pos:R:3 pbc="T T T"
As -0.687 -2.214 -1.487
Ir 0.000 0.000 0.000
Li -2.062 -6.643 -4.461
Lu -1.375 -4.429 -2.974
```

---

Density functional theory data (PBE) for crystalline NdSi at its relaxed geometry.

The total energy is -5.520 eV/atom.

Geometry as extended XYZ:
```
2
Lattice="0.000 3.011 3.011 3.011 0.000 3.011 3.011 3.011 0.000" Properties=species:S:1:pos:R:3 pbc="T T T"
Nd 0.000 0.000 0.000
Si 3.011 3.011 3.011
```

---

Density functional theory data (PBE) for crystalline Lu2CoGe2 at its relaxed geometry.

The total energy is -5.827 eV/atom.

Geometry as extended XYZ:
```
10
Lattice="0.000 4.148 0.000 -5.106 2.074 -0.010 -0.489 -2.074 8.835" Properties=species:S:1:pos:R:3 pbc="T T T"
Co -0.659 2.074 3.121
Co -4.937 2.074 5.704
Ge -4.360 4.148 1.087
Ge -1.549 0.000 3.836
Ge -4.047 4.148 4.989
Ge -1.236 0.000 7.738
Lu -1.379 4.148 0.991
Lu -3.633 2.074 2.936
Lu -1.963 2.074 5.890
Lu -4.217 0.000 7.834
```

---

Density functional theory data (PBE) for crystalline TaNiSnMo at its relaxed geometry.

For the energy above the most stable polymorph in this dataset, the calculation gives 0 meV per atom. The total energy is -7.999 eV/atom.

Geometry as extended XYZ:
```
4
Lattice="-0.957 -3.852 -2.163 -3.635 -2.413 1.182 -3.569 -0.212 -2.765" Properties=species:S:1:pos:R:3 pbc="T T T"
Mo -2.040 -1.619 -0.937
Ni -6.121 -4.857 -2.810
Sn 0.000 0.000 0.000
Ta -4.081 -3.238 -1.873
```

---

Density functional theory data (PBE) for crystalline LiReNO at its relaxed geometry.

For the energy above the most stable polymorph in this dataset, the calculation gives 832 meV per atom. The total energy is -6.817 eV/atom.

Geometry as extended XYZ:
```
8
Lattice="-2.392 0.229 -1.972 -1.304 -2.509 1.291 -3.564 4.335 4.827" Properties=species:S:1:pos:R:3 pbc="T T T"
Li -3.902 1.712 1.258
Li -3.358 0.343 2.889
N -3.873 -0.371 0.981
N -3.387 2.426 3.166
O -2.120 -0.456 -1.156
O -1.576 -1.825 0.475
Re -1.576 0.223 0.713
Re -5.684 1.832 3.434
```

---

Density functional theory data (PBE) for crystalline LaTbAu2 at its relaxed geometry.

The calculation puts the formation energy at -0.838 eV per atom. The total energy is -4.860 eV/atom.

Geometry as extended XYZ:
```
4
Lattice="4.765 0.000 0.000 0.000 1.919 5.617 0.000 -1.919 5.617" Properties=species:S:1:pos:R:3 pbc="T T T"
Au 0.000 0.000 0.998
Au 2.383 0.000 10.251
La 0.000 0.000 4.059
Tb 2.383 0.000 7.160
```

---

Density functional theory data (PBE) for crystalline Zr6Te2Mo at its relaxed geometry.

The total energy is -8.025 eV/atom.

Geometry as extended XYZ:
```
9
Lattice="-6.885 3.020 -2.429 0.935 -2.132 7.550 1.194 3.368 0.803" Properties=species:S:1:pos:R:3 pbc="T T T"
Mo 0.000 0.000 0.000
Te -3.682 2.987 1.299
Te -1.075 1.269 4.625
Zr -4.100 1.798 -1.447
Zr -2.407 0.359 2.071
Zr 0.557 -1.270 4.496
Zr -1.134 2.443 -0.209
Zr 0.832 1.148 2.300
Zr -3.858 2.349 4.235
```